Entry 1:
A plane-wave DFT calculation with PBE-GGA was carried out for crystalline ZrTa2Nb3 at its relaxed geometry.

Values from the calculation:
The calculation puts the total magnetization at 0.0 μB per cell. The total energy is -10.38 eV per atom. The value obtained for the density of states at the Fermi level is 10.52 states/eV/cell. The crystal system is tetragonal. For the energy relative to the elements, the calculation gives 0.03 eV/atom.

a b c (Å): 3.3491 3.3491 10.1703
angles (deg): 90.00 90.00 90.00
Last column: nearest neighbours and their distance in Å.
Element x y z (fractional)
Zr: 0.0000 0.0000 0.0000  8 Nb 3.02, 4 Zr 3.35
Ta: 0.0000 0.0000 0.3363  8 Nb 2.83-2.89
Ta: 0.0000 0.0000 0.6637  8 Nb 2.83-2.89
Nb: 0.5000 0.5000 0.1838  4 Ta 2.83, 4 Zr 3.02
Nb: 0.5000 0.5000 0.5000  8 Ta 2.89, 2 Nb 3.22
Nb: 0.5000 0.5000 0.8162  4 Ta 2.83, 4 Zr 3.02

Entry 2:
A plane-wave DFT calculation with PBE-GGA was carried out for crystalline TbMgTl at its relaxed geometry.

Values from the calculation:
The calculation puts the total magnetization at 0.0 μB per cell. The total energy is -3.20 eV per atom. The value obtained for the density of states at the Fermi level is 1.87 states/eV/cell. The crystal system is hexagonal. For the energy relative to the elements, the calculation gives -0.33 eV/atom.

a b c (Å): 7.5680 7.5680 4.6897
angles (deg): 90.00 90.00 120.00
Last column: nearest neighbours and their distance in Å.
Element x y z (fractional)
Tb: 0.0000 0.4309 0.0000  5 Tl 3.25-3.26, 2 Mg 3.41
Tb: 0.4309 0.0000 0.0000  5 Tl 3.25-3.26, 2 Mg 3.41
Tb: 0.5691 0.5691 0.0000  5 Tl 3.25-3.26, 2 Mg 3.41
Mg: 0.0000 0.7574 0.5000  4 Tl 2.93-2.98, 2 Mg 3.18
Mg: 0.2426 0.2426 0.5000  4 Tl 2.93-2.98, 2 Mg 3.18
Mg: 0.7574 0.0000 0.5000  4 Tl 2.93-2.98, 2 Mg 3.18
Tl: 0.0000 0.0000 0.0000  6 Mg 2.98, 3 Tb 3.26
Tl: 0.3333 0.6667 0.5000  3 Mg 2.93, 6 Tb 3.25
Tl: 0.6667 0.3333 0.5000  3 Mg 2.93, 6 Tb 3.25

Entry 3:
A plane-wave DFT calculation with PBE-GGA was carried out for crystalline Y2HgSe2 at its relaxed geometry.

Values from the calculation:
The formation energy (no corrections) comes out at -1.221 eV per atom. The calculation puts the total magnetization at 0.0 μB per cell. The total energy is -5.26 eV per atom. The value obtained for the density of states at the Fermi level is 10.27 states/eV/cell. The energy above the most stable polymorph in this dataset is 0.000 eV/f.u. The crystal system is tetragonal.

a b c (Å): 8.1120 8.1120 3.7350
angles (deg): 90.00 90.00 90.00
Last column: nearest neighbours and their distance in Å.
Element x y z (fractional)
Y: 0.1543 0.3457 0.0000  6 Se 2.98-3.05, 2 Hg 3.07
Y: 0.3457 0.8457 0.0000  6 Se 2.98-3.05, 2 Hg 3.07
Y: 0.6543 0.1543 0.0000  6 Se 2.98-3.05, 2 Hg 3.07
Y: 0.8457 0.6543 0.0000  6 Se 2.98-3.05, 2 Hg 3.07
Hg: 0.0000 0.0000 0.0000  4 Y 3.07
Hg: 0.5000 0.5000 0.0000  4 Y 3.07
Se: 0.1428 0.6428 0.5000  6 Y 2.98-3.05, 1 Se 3.28
Se: 0.3572 0.1428 0.5000  6 Y 2.98-3.05, 1 Se 3.28
Se: 0.6428 0.8572 0.5000  6 Y 2.98-3.05, 1 Se 3.28
Se: 0.8572 0.3572 0.5000  6 Y 2.98-3.05, 1 Se 3.28